PBE Be2AsIrF, relaxed; total energy = -4.5641 eV/atom; energy relative to the elements, uncorrected = 0 kJ/mol of atoms; DOS at the Fermi energy = 2.2 states/eV per cell
1.0
-0.445 -3.120 -1.713
0.325 -2.322 4.145
-3.551 0.270 0.430
F Be Ir As
1 2 1 1
Cartesian
0.000 0.000 0.000
-1.775 0.135 0.215
-0.222 -1.560 -0.856
-1.835 -2.586 1.431
0.163 -1.161 2.072


PBE K2Be2As2F, relaxed; total energy = -3.8742 eV/atom; energy relative to the elements, uncorrected = -87 kJ/mol of atoms; DOS at the Fermi energy = 2.6 states/eV per cell
1.0
3.860 0.000 0.000
1.930 5.628 -0.283
1.930 1.884 6.545
K F As Be
2 1 2 2
Cartesian
3.860 2.448 4.282
3.860 5.063 1.980
0.000 0.000 0.000
5.790 5.021 5.015
1.930 2.491 1.246
3.860 1.656 0.274
3.860 5.856 5.987


Taking the records one at a time from the top gives volume values of 12.252, 20.606 Å³/atom.